Compound: MgAg2Te
Source: Alexandria via LeMat-Bulk
Functional: PBE-GGA
Structure: optimized geometry

Geometry as POSCAR:
```
MgAg2Te
1.0
-3.1287 -1.0843 2.0453
-0.2559 -3.2556 -2.1174
3.4342 -2.7414 3.8000
Ag Mg Te
2 1 1
direct
0.0000 0.0000 0.0376
0.5000 0.5000 0.2280
0.0000 0.0000 0.5090
0.5000 0.5000 0.7254
```

Energy relative to the elements, uncorrected   -3.086 kcal/mol of atoms
Energy above the most stable polymorph in this dataset   0.0222 eV per atom
SG   No. 99